Compound: CaSnPdAu
Source: Alexandria
Functional: PBE
Structure: optimized geometry

Geometry as POSCAR:
```
CaSnPdAu
1.0
4.897 0.000 0.000
2.449 4.241 0.000
2.449 1.414 3.999
Au Ca Pd Sn
1 1 1 1
direct
0.000 0.000 0.000
0.750 0.750 0.750
0.500 0.500 0.500
0.250 0.250 0.250
```

## Properties
- ΔE_f: -0.623 eV/atom
- Volume: 83.1 Å³ per cell
- Magnetic moment: 0.000 μB/atom



Compound: Ca2Sn2Pd5Au
Source: Alexandria
Functional: PBE
Structure: optimized geometry

Geometry as POSCAR:
```
Ca2Sn2Pd5Au
1.0
-2.554 -2.129 1.592
4.997 -8.547 -3.411
5.661 -0.206 8.807
Ca Sn Pd Au
4 4 10 2
direct
0.000 0.171 0.329
0.000 0.671 0.171
0.000 0.829 0.671
0.000 0.329 0.829
0.000 0.869 0.369
0.000 0.131 0.631
0.000 0.631 0.869
0.000 0.369 0.131
0.500 0.057 0.805
0.500 0.695 0.443
0.500 0.305 0.557
0.500 0.943 0.195
0.500 0.000 0.500
0.500 0.557 0.695
0.500 0.500 0.000
0.500 0.195 0.057
0.500 0.443 0.305
0.500 0.805 0.943
0.000 0.000 0.000
0.000 0.500 0.500
```

## Properties
- ΔE_f: -0.545 eV/atom
- Volume: 404.2 Å³ per cell
- Magnetic moment: 0.000 μB/atom



- What is the volume in the second record?
  404.2 Å³ per cell



- Look up the magnetic moment of the first one.
  0.000 μB/atom



- What is the ΔE_f in the first record?
  -0.623 eV/atom